No. 1
First-principles (GGA-PBE) data for LaInTc2W after structural relaxation, as listed in Alexandria via LeMat-Bulk.

Output
Calculated formation energy (meV/atom): 2373
Final energy (eV per atom): -5.897
Volume (Å³/cell): 129.4

CIF file:
```
data_LaInTc2W
_chemical_formula_sum 'La1 In1 Tc2 W1'
_cell_length_a 4.859
_cell_length_b 4.859
_cell_length_c 5.481
_cell_angle_alpha 90.00
_cell_angle_beta 90.00
_cell_angle_gamma 90.00
_symmetry_space_group_name_H-M 'P 4/m m m'
_symmetry_Int_Tables_number 123
_symmetry_space_group_name_Hall '-P 4 2'
loop_
_atom_site_label
_atom_site_type_symbol
_atom_site_fract_x
_atom_site_fract_y
_atom_site_fract_z
La1 La 0.000 0.000 0.000
In1 In 0.000 0.000 0.500
Tc1 Tc 0.000 0.500 0.500
W1 W 0.500 0.500 0.000
```

No. 2
First-principles (GGA-PBE) data for PuCuAgAu after structural relaxation, as listed in Alexandria via LeMat-Bulk.

Output
Calculated formation energy (meV/atom): -38
Final energy (eV per atom): -6.177
Volume (Å³/cell): 324.8

CIF file:
```
data_PuCuAgAu
_chemical_formula_sum 'Pu4 Cu4 Ag4 Au4'
_cell_length_a 6.874
_cell_length_b 6.874
_cell_length_c 6.874
_cell_angle_alpha 90.00
_cell_angle_beta 90.00
_cell_angle_gamma 90.00
_symmetry_space_group_name_H-M 'F -4 3 m'
_symmetry_Int_Tables_number 216
_symmetry_space_group_name_Hall 'F -4 2 3'
loop_
_atom_site_label
_atom_site_type_symbol
_atom_site_fract_x
_atom_site_fract_y
_atom_site_fract_z
Pu1 Pu 0.000 0.000 0.000
Cu1 Cu 0.250 0.250 0.250
Ag1 Ag 0.000 0.000 0.500
Au1 Au 0.250 0.250 0.750
```

No. 3
First-principles (GGA-PBE) data for HoMgScPb after structural relaxation, as listed in Alexandria via LeMat-Bulk.

Output
Calculated formation energy (meV/atom): -224
Final energy (eV per atom): -4.277
Volume (Å³/cell): 402.9

CIF file:
```
data_HoMgScPb
_chemical_formula_sum 'Ho4 Mg4 Sc4 Pb4'
_cell_length_a 7.386
_cell_length_b 7.386
_cell_length_c 7.386
_cell_angle_alpha 90.00
_cell_angle_beta 90.00
_cell_angle_gamma 90.00
_symmetry_space_group_name_H-M 'F -4 3 m'
_symmetry_Int_Tables_number 216
_symmetry_space_group_name_Hall 'F -4 2 3'
loop_
_atom_site_label
_atom_site_type_symbol
_atom_site_fract_x
_atom_site_fract_y
_atom_site_fract_z
Ho1 Ho 0.000 0.000 0.000
Mg1 Mg 0.250 0.250 0.250
Sc1 Sc 0.000 0.000 0.500
Pb1 Pb 0.250 0.250 0.750
```